Here is a geometry-optimized BaU2AgSe5 structure from the Alexandria database. Energies are from GGA-PBE.

Summary:
SG = I4/mcm (140)
N(E_F) = 19.3 states/eV/cell
calculated density = 7.87 g/cm3
DFT total energy = -110.595 eV for the cell shown
M_tot = 0.555 μB/atom

Cell lengths 7.864, 7.864, 9.428 Å; angles 114.65, 114.65, 90.00 degrees
Positions (direct):
Ba  0.250  0.250  0.500
Ba  0.750  0.750  0.500
U  0.151  0.349  0.000
U  0.651  0.151  0.000
U  0.349  0.849  0.000
U  0.849  0.651  0.000
Ag  0.250  0.750  0.500
Ag  0.750  0.250  0.500
Se  0.966  0.466  0.248
Se  0.718  0.218  0.752
Se  0.034  0.534  0.752
Se  0.218  0.034  0.752
Se  0.534  0.718  0.752
Se  0.782  0.966  0.248
Se  0.466  0.282  0.248
Se  0.282  0.782  0.248
Se  0.500  0.500  0.000
Se  0.000  0.000  0.000